Below is ScHO2 at its PBEsol-relaxed geometry, with properties calculated at the SCAN level.

```
4
Lattice="-3.002 1.833 0.650 -2.593 -1.461 1.985 -0.656 1.251 3.287" Properties=species:S:1:pos:R:3 pbc="T T T"
O -1.563 0.406 1.480
H 0.000 0.000 0.000
Sc -3.126 0.812 2.961
O -4.689 1.217 4.441
```

## Properties
symmetry = Fm-3m (225)
raw total energy = -36.81 eV/cell